[1]
This record from Alexandria via LeMat-Bulk describes an optimized crystal structure of YMn2NbAu. The functional is GGA-PBE.

a = 4.4762 Å, b = 4.4762 Å, c = 5.1299 Å
α = 90.00°, β = 90.00°, γ = 90.00°
With the nearest neighbours (Å) after each atom.
Space group P4/mmm (No. 123)
Asymmetric unit:
1 Y 0.0000 0.0000 0.0000 (multiplicity 1)  4 Mn 2.24
2 Mn 0.0000 0.5000 0.0000 (multiplicity 2)  2 Y 2.24
3 Nb 0.5000 0.5000 0.5000 (multiplicity 1)  4 Au 3.17, 8 Mn 3.40
4 Au 0.0000 0.0000 0.5000 (multiplicity 1)  2 Y 2.56

- electronic total energy (eV per cell) = -28.43
- density (g/cm3) = 7.89
- D(E_F) (states/eV per atom) = 1.45
- energy of formation from the pure elements (eV per atom) = 1.94

[2]
This record from Alexandria via LeMat-Bulk describes an optimized crystal structure of La2Pr6In3. The functional is GGA-PBE.

a = 4.6833 Å, b = 4.6833 Å, c = 35.4001 Å
α = 90.00°, β = 90.00°, γ = 90.00°
With the nearest neighbours (Å) after each atom.
Space group I4/mmm (No. 139)
Asymmetric unit:
1 La 0.0000 0.0000 0.0423 (multiplicity 4)  1 La 3.00
2 Pr 0.0000 0.0000 0.2142 (multiplicity 4)  5 In 3.26-3.39
3 Pr 0.0000 0.5000 0.1284 (multiplicity 8)  2 In 3.29, 4 Pr 3.31
4 In 0.0000 0.0000 0.3064 (multiplicity 4)  9 Pr 3.26-3.39
5 In 0.0000 0.0000 0.5000 (multiplicity 2)  8 La 3.63

- electronic total energy (eV per cell) = -94.87
- density (g/cm3) = 6.28
- D(E_F) (states/eV per atom) = 1.46
- energy of formation from the pure elements (eV per atom) = -0.06

[3]
This record from Alexandria via LeMat-Bulk describes an optimized crystal structure of Dy5Te2Se5. The functional is GGA-PBE.

a = 13.5642 Å, b = 4.0052 Å, c = 12.6209 Å
α = 90.00°, β = 102.71°, γ = 90.00°
With the nearest neighbours (Å) after each atom.
Space group C2/m (No. 12)
Asymmetric unit:
1 Dy 0.0000 0.0000 0.0000 (multiplicity 2)  4 Se 2.89, 2 Te 2.98
2 Dy 0.1179 0.0000 0.4347 (multiplicity 4)  5 Se 2.80-2.96, 1 Te 3.04
3 Dy 0.2170 0.5000 0.8178 (multiplicity 4)  5 Se 2.92-3.18, 2 Te 3.08
4 Te 0.0405 0.0000 0.7773 (multiplicity 4)  4 Dy 2.98-3.08
5 Se 0.0000 0.5000 0.5000 (multiplicity 2)  4 Dy 2.80
6 Se 0.1569 0.5000 0.0475 (multiplicity 4)  5 Dy 2.89-3.18
7 Se 0.2369 0.5000 0.3524 (multiplicity 4)  5 Dy 2.90-3.10

- electronic total energy (eV per cell) = -134.11
- formation energy (no corrections) (eV/f.u.) = -20.3
- density (g/cm3) = 7.26
- D(E_F) (states/eV per atom) = 0.18

[4]
This record from Alexandria via LeMat-Bulk describes an optimized crystal structure of AlCuSe2. The functional is GGA-PBE.

a = 3.8934 Å, b = 3.8937 Å, c = 6.5160 Å
α = 90.00°, β = 90.53°, γ = 90.00°
With the nearest neighbours (Å) after each atom.
Space group Pm (No. 6)
Asymmetric unit:
1 Al 0.0000 0.0000 0.0000 (multiplicity 1)  4 Se 2.49, 4 Cu 2.75
2 Cu 0.4995 0.5000 0.0000 (multiplicity 1)  4 Se 2.49, 4 Al 2.75
3 Se 0.0032 0.5000 0.2372 (multiplicity 1)  2 Cu 2.49, 2 Al 2.49
4 Se 0.4963 0.0000 0.7628 (multiplicity 1)  2 Al 2.49, 2 Cu 2.49

- electronic total energy (eV per cell) = -17.08
- formation energy (no corrections) (eV/f.u.) = -2.3
- density (g/cm3) = 4.18